Density functional theory data (GGA-PBE) for a relaxed structure of ZnNi2HPt.

Structure (extended XYZ):
```
5
Lattice="3.727 0.000 0.000 0.000 3.727 0.000 0.000 0.000 3.868" Properties=species:S:1:pos:R:3 pbc="T T T"
Ni 0.000 1.863 0.000
Ni 1.863 0.000 0.000
Zn 1.863 1.863 1.934
Pt 0.000 0.000 1.934
H 0.000 0.000 0.000
```

Computed properties:
- E (eV/atom) = -4.65



Density functional theory data (GGA-PBE) for a relaxed structure of PaZn4Ga.

Structure (extended XYZ):
```
12
Lattice="4.047 0.000 -1.050 0.000 6.577 0.000 -0.064 0.000 8.080" Properties=species:S:1:pos:R:3 pbc="T T T"
Pa 0.488 1.644 1.880
Pa 3.496 4.933 5.150
Zn 2.024 3.289 -0.525
Zn 2.024 0.000 -0.525
Zn 2.680 6.202 2.006
Zn 1.303 0.375 5.023
Zn 1.303 2.913 5.023
Zn 2.680 3.664 2.006
Zn 0.249 4.933 0.962
Zn 3.734 1.644 6.068
Ga 0.895 4.933 3.450
Ga 3.088 1.644 3.580
```

Computed properties:
- E (eV/atom) = -3.01
- ΔH_f (0 K) (eV/atom) = -0.070



Density functional theory data (GGA-PBE) for a relaxed structure of CrIn2GeSe6.

Structure (extended XYZ):
```
20
Lattice="-4.226 -4.836 2.288 -2.257 -3.363 -7.798 5.805 -6.591 0.264" Properties=species:S:1:pos:R:3 pbc="T T T"
Cr -2.617 -4.850 -6.531
Cr 1.940 -9.940 1.284
In 0.742 -7.501 -5.432
In -0.867 -4.245 -2.520
In -1.419 -7.289 0.186
In 0.190 -10.545 -2.727
Ge 2.803 -7.021 -1.110
Ge -3.480 -7.769 -4.137
Se 2.128 -9.213 -7.126
Se -1.903 -2.674 -0.476
Se -2.805 -5.577 1.879
Se 1.226 -12.116 -4.771
Se -1.769 -7.172 -6.104
Se -1.425 -3.346 -4.916
Se 1.092 -7.619 0.858
Se 0.748 -11.444 -0.330
Se -2.201 -10.147 -3.651
Se -2.245 -6.399 -2.107
Se 1.524 -4.644 -1.595
Se 1.568 -8.392 -3.139
```

Computed properties:
- energy relative to the elements, uncorrected (kJ/mol of atoms) = -35.9
- E (eV/atom) = -4.44



| no. | DOS(E_F) (states/eV per cell) |
| --- | --- |
| 1 | 4.7 |
| 2 | 9.5 |
| 3 | 1.5 |